{
  "formula": "CsZrNO",
  "functional": "GGA-PBE",
  "state": "optimized geometry",
  "total_energy_ev_per_atom": -6.26,
  "total_magnetization_mub_per_fu": 1.1,
  "vol_a3_per_cell": 206.3,
  "cell": [[4.258, 0.000, 0.000], [0.000, 4.258, 0.000], [0.000, 0.000, 11.377]],
  "species": ["Cs", "Cs", "Zr", "Zr", "N", "N", "O", "O"],
  "frac_coords": [[0.250, 0.250, 0.158], [0.750, 0.750, 0.842], [0.250, 0.750, 0.500], [0.750, 0.250, 0.500], [0.250, 0.250, 0.543], [0.750, 0.750, 0.457], [0.250, 0.750, 0.000], [0.750, 0.250, 0.000]]
}

=====

{
  "formula": "CsZrNO",
  "functional": "GGA-PBE",
  "state": "optimized geometry",
  "total_energy_ev_per_atom": -7.31,
  "total_magnetization_mub_per_fu": 0.0,
  "vol_a3_per_cell": 178.7,
  "cell": [[3.535, 0.000, 0.000], [0.000, 7.785, 0.000], [0.000, 0.000, 6.495]],
  "species": ["Cs", "Cs", "Zr", "Zr", "N", "N", "O", "O"],
  "frac_coords": [[0.000, 0.162, 0.000], [0.000, 0.838, 0.500], [0.500, 0.359, 0.512], [0.500, 0.641, 0.012], [0.000, 0.227, 0.474], [0.000, 0.773, 0.974], [0.500, 0.440, 0.811], [0.500, 0.560, 0.311]]
}

=====

{
  "formula": "Cs4OsN4",
  "functional": "GGA-PBE",
  "state": "optimized geometry",
  "total_energy_ev_per_atom": -4.95,
  "total_magnetization_mub_per_fu": 0.0,
  "vol_a3_per_cell": 240.4,
  "cell": [[5.322, -3.465, 0.000], [5.322, 3.465, 0.000], [-2.102, 0.000, 6.517]],
  "species": ["Cs", "Cs", "Cs", "Cs", "Os", "N", "N", "N", "N"],
  "frac_coords": [[0.118, 0.118, 0.334], [0.313, 0.313, 0.899], [0.687, 0.687, 0.101], [0.882, 0.882, 0.666], [0.500, 0.500, 0.500], [0.209, 0.591, 0.328], [0.409, 0.791, 0.672], [0.591, 0.209, 0.328], [0.791, 0.409, 0.672]]
}

=====

{
  "formula": "CsPd3N5",
  "functional": "GGA-PBE",
  "state": "optimized geometry",
  "total_energy_ev_per_atom": -5.03,
  "vol_a3_per_cell": 150.5,
  "cell": [[5.332, 0.000, 0.000], [-2.666, 4.617, 0.000], [0.000, 0.000, 6.115]],
  "species": ["Cs", "Pd", "Pd", "Pd", "N", "N", "N", "N", "N"],
  "frac_coords": [[0.000, 0.000, 0.000], [0.000, 0.500, 0.500], [0.500, 0.000, 0.500], [0.500, 0.500, 0.500], [0.000, 0.000, 0.500], [0.333, 0.667, 0.282], [0.333, 0.667, 0.718], [0.667, 0.333, 0.282], [0.667, 0.333, 0.718]]
}

=====

{
  "formula": "Cs3Pt3N2",
  "functional": "GGA-PBE",
  "state": "optimized geometry",
  "total_energy_ev_per_atom": -4.61,
  "total_magnetization_mub_per_fu": 0.8,
  "vol_a3_per_cell": 191.6,
  "cell": [[2.852, 1.646, 6.801], [-2.852, 1.646, 6.801], [0.000, -3.293, 6.801]],
  "species": ["Cs", "Cs", "Cs", "Pt", "Pt", "Pt", "N", "N"],
  "frac_coords": [[0.000, 0.000, 0.000], [0.404, 0.404, 0.404], [0.596, 0.596, 0.596], [0.000, 0.000, 0.500], [0.000, 0.500, 0.000], [0.500, 0.000, 0.000], [0.228, 0.228, 0.228], [0.772, 0.772, 0.772]]
}

=====

{
  "formula": "CsRbPtN2",
  "functional": "GGA-PBE",
  "state": "optimized geometry",
  "total_energy_ev_per_atom": -4.96,
  "total_magnetization_mub_per_fu": 0.2,
  "vol_a3_per_cell": 138.3,
  "cell": [[5.653, 0.000, 0.000], [-2.826, 4.896, 0.000], [0.000, 0.000, 4.999]],
  "species": ["Cs", "Rb", "Pt", "N", "N"],
  "frac_coords": [[0.000, 0.000, 0.000], [0.667, 0.333, 0.411], [0.333, 0.667, 0.685], [0.333, 0.667, 0.063], [0.333, 0.667, 0.308]]
}

=====

{
  "formula": "CsReN2",
  "functional": "GGA-PBE",
  "state": "optimized geometry",
  "total_energy_ev_per_atom": -7.68,
  "total_magnetization_mub_per_fu": 0.0,
  "vol_a3_per_cell": 163.5,
  "cell": [[0.000, 4.340, 4.340], [4.340, 0.000, 4.340], [4.340, 4.340, 0.000]],
  "species": ["Cs", "Cs", "Re", "Re", "N", "N", "N", "N"],
  "frac_coords": [[0.125, 0.125, 0.125], [0.875, 0.875, 0.875], [0.375, 0.375, 0.375], [0.625, 0.625, 0.625], [0.000, 0.500, 0.500], [0.500, 0.000, 0.500], [0.500, 0.500, 0.000], [0.500, 0.500, 0.500]]
}

=====

{
  "formula": "CsReN2",
  "functional": "GGA-PBE",
  "state": "optimized geometry",
  "total_energy_ev_per_atom": -7.68,
  "total_magnetization_mub_per_fu": 0.0,
  "vol_a3_per_cell": 163.5,
  "cell": [[-3.060, 3.060, 4.366], [3.060, -3.060, 4.366], [3.060, 3.060, -4.366]],
  "species": ["Cs", "Cs", "Re", "Re", "N", "N", "N", "N"],
  "frac_coords": [[0.375, 0.625, 0.750], [0.625, 0.375, 0.250], [0.125, 0.875, 0.250], [0.875, 0.125, 0.750], [0.000, 0.000, 0.000], [0.000, 0.000, 0.500], [0.000, 0.500, 0.000], [0.500, 0.000, 0.500]]
}